[1]
VASP calculation (PBE-GGA) on a relaxed Mn2HgCl2 crystal.

Results
- Energy relative to the elements, uncorrected: 0.172 eV per atom
- DOS(E_F): 0.70 states/eV/atom
- Total magnetic moment: 0.00 μB/f.u.
- Symmetry: I4/mmm (139)
- Uncorrected energy: -0.158 Ha/atom

abc: 9.045 9.045 9.045
angles: 156.83 156.83 32.99
Sites, in units of the cell vectors:
Mn 0.250 0.750 0.500
Mn 0.750 0.250 0.500
Hg 0.000 0.000 0.000
Cl 0.324 0.324 0.000
Cl 0.676 0.676 0.000

---

[2]
VASP calculation (PBE-GGA) on a relaxed K2Sn4Pt5 crystal.

Results
- Energy of formation: -425 meV per atom
- DOS(E_F): 0.39 states/eV/atom
- Total magnetic moment: 0.00 μB/f.u.
- Symmetry: Fmmm (69)
- Uncorrected energy: -0.177 Ha/atom

abc: 9.881 8.738 6.193
angles: 80.92 60.84 38.24
Sites, in units of the cell vectors:
K 0.124 0.124 0.876
K 0.876 0.876 0.124
Sn 0.212 0.535 0.465
Sn 0.465 0.788 0.212
Sn 0.535 0.212 0.788
Sn 0.788 0.465 0.535
Pt 0.000 0.000 0.500
Pt 0.250 0.250 0.250
Pt 0.500 0.500 0.000
Pt 0.500 0.500 0.500
Pt 0.750 0.750 0.750

---

[3]
VASP calculation (PBE-GGA) on a relaxed ZnHg2Pb2 crystal.

Results
- Energy of formation: 108 meV per atom
- DOS(E_F): 0.33 states/eV/atom
- Total magnetic moment: 0.00 μB/f.u.
- Symmetry: P4/mbm (127)
- Uncorrected energy: -0.064 Ha/atom

abc: 7.160 7.160 5.212
angles: 90.00 90.00 90.00
Sites, in units of the cell vectors:
Zn 0.000 0.000 0.000
Zn 0.500 0.500 0.000
Hg 0.147 0.353 0.000
Hg 0.353 0.853 0.000
Hg 0.647 0.147 0.000
Hg 0.853 0.647 0.000
Pb 0.176 0.676 0.500
Pb 0.324 0.176 0.500
Pb 0.676 0.824 0.500
Pb 0.824 0.324 0.500

---

[4]
VASP calculation (PBE-GGA) on a relaxed SmUS2 crystal.

Results
- Energy relative to the elements, uncorrected: -1.576 eV per atom
- DOS(E_F): 0.71 states/eV/atom
- Total magnetic moment: 3.07 μB/f.u.
- Symmetry: R3m (160)
- Uncorrected energy: -0.281 Ha/atom

abc: 7.433 7.433 7.433
angles: 29.54 29.54 29.54
Sites, in units of the cell vectors:
Sm 0.000 0.000 0.000
U 0.824 0.824 0.824
S 0.413 0.413 0.413
S 0.578 0.578 0.578

---

[5]
VASP calculation (PBE-GGA) on a relaxed Na2Ca2Cd15 crystal.

Results
- Energy of formation: -134 meV per atom
- DOS(E_F): 0.35 states/eV/atom
- Total magnetic moment: 0.00 μB/f.u.
- Symmetry: R-3m (166)
- Uncorrected energy: -0.044 Ha/atom

abc: 7.776 7.776 7.776
angles: 83.29 83.29 83.29
Sites, in units of the cell vectors:
Na 0.102 0.102 0.102
Na 0.898 0.898 0.898
Ca 0.349 0.349 0.349
Ca 0.651 0.651 0.651
Cd 0.000 0.000 0.500
Cd 0.000 0.306 0.694
Cd 0.000 0.500 0.000
Cd 0.000 0.694 0.306
Cd 0.164 0.646 0.646
Cd 0.306 0.000 0.694
Cd 0.306 0.694 0.000
Cd 0.354 0.354 0.836
Cd 0.354 0.836 0.354
Cd 0.500 0.000 0.000
Cd 0.646 0.164 0.646
Cd 0.646 0.646 0.164
Cd 0.694 0.000 0.306
Cd 0.694 0.306 0.000
Cd 0.836 0.354 0.354

---

[6]
VASP calculation (PBE-GGA) on a relaxed Nd5Y2Sb5 crystal.

Results
- Energy relative to the elements, uncorrected: -0.926 eV per atom
- DOS(E_F): 0.74 states/eV/atom
- Total magnetic moment: 0.00 μB/f.u.
- Symmetry: C2/m (12)
- Uncorrected energy: -0.210 Ha/atom

abc: 7.650 7.650 12.871
angles: 109.11 109.11 33.85
Sites, in units of the cell vectors:
Nd 0.000 0.000 0.000
Nd 0.161 0.161 0.539
Nd 0.228 0.228 0.846
Nd 0.772 0.772 0.154
Nd 0.839 0.839 0.461
Y 0.456 0.456 0.711
Y 0.544 0.544 0.289
Sb 0.188 0.188 0.289
Sb 0.383 0.383 0.075
Sb 0.500 0.500 0.500
Sb 0.617 0.617 0.925
Sb 0.812 0.812 0.711